# 1
The following is a PBE-GGA calculation of a relaxed structure of Sm5Y4Sc, from Alexandria via LeMat-Bulk.

```
Sm5Y4Sc
1.0
9.2671 -1.7848 0.0000
9.2671 1.7848 0.0000
-2.7411 0.0000 9.7195
Sm Y Sc
5 4 1
Direct
0.0000 0.0000 0.0000
0.1997 0.1997 0.1006
0.4026 0.4026 0.6941
0.5974 0.5974 0.3059
0.8003 0.8003 0.8994
0.1990 0.1990 0.5993
0.4014 0.4014 0.2069
0.5986 0.5986 0.7931
0.8010 0.8010 0.4007
0.0000 0.0000 0.5000
```

Computed properties:
Energy of formation from the pure elements (meV/atom): 30
Relative energy among the computed polymorphs (eV per formula unit): 0.00
DFT total energy (Ha/atom): -0.20389
Density of states at the Fermi level (states/eV/atom): 1.38

# 2
The following is a PBE-GGA calculation of a relaxed structure of PmNd3YTm, from Alexandria via LeMat-Bulk.

```
PmNd3YTm
1.0
5.8211 0.0000 0.0000
-0.0293 7.0676 0.0000
-0.0848 -0.0091 9.8035
Pm Nd Y Tm
2 6 2 2
Direct
0.2481 0.4983 0.2453
0.7519 0.5017 0.7547
0.2207 0.7555 0.5798
0.2216 0.2427 0.9169
0.2802 0.2465 0.5813
0.7198 0.7535 0.4187
0.7784 0.7573 0.0831
0.7793 0.2445 0.4202
0.2763 0.7502 0.9175
0.7237 0.2498 0.0825
0.2510 0.0025 0.2452
0.7490 0.9975 0.7548
```

Computed properties:
Energy of formation from the pure elements (meV/atom): 56
DFT total energy (Ha/atom): -0.18163
Density of states at the Fermi level (states/eV/atom): 1.39

# 3
The following is a PBE-GGA calculation of a relaxed structure of Tm2Zn16Ga, from Alexandria via LeMat-Bulk.

```
Tm2Zn16Ga
1.0
4.4900 2.5923 4.3590
-4.4900 2.5923 4.3590
0.0000 -5.1847 4.3590
Tm Zn Ga
2 16 1
Direct
0.0000 0.0000 0.0000
0.3314 0.3314 0.3314
0.0188 0.0188 0.4979
0.0188 0.4979 0.0188
0.1709 0.6625 0.6625
0.3145 0.3145 0.8302
0.3145 0.8302 0.3145
0.3609 0.6656 0.9698
0.3609 0.9698 0.6656
0.4979 0.0188 0.0188
0.5681 0.5681 0.5681
0.6625 0.1709 0.6625
0.6625 0.6625 0.1709
0.6656 0.3609 0.9698
0.6656 0.9698 0.3609
0.8302 0.3145 0.3145
0.9698 0.3609 0.6656
0.9698 0.6656 0.3609
0.7661 0.7661 0.7661
```

Computed properties:
Energy of formation from the pure elements (meV/atom): -208
DFT total energy (Ha/atom): -0.07023
Density of states at the Fermi level (states/eV/atom): 0.24

# 4
The following is a PBE-GGA calculation of a relaxed structure of Np2Se2I, from Alexandria via LeMat-Bulk.

```
Np2Se2I
1.0
9.3814 0.0000 0.0000
0.0000 9.3814 0.0000
0.0000 0.0000 3.8083
Np Se I
4 4 2
Direct
0.1605 0.3395 0.0000
0.3395 0.8395 0.0000
0.6605 0.1605 0.0000
0.8395 0.6605 0.0000
0.1321 0.6321 0.0000
0.3679 0.1321 0.0000
0.6321 0.8679 0.0000
0.8679 0.3679 0.0000
0.0000 0.0000 0.5000
0.5000 0.5000 0.5000
```

Computed properties:
Relative energy among the computed polymorphs (eV per formula unit): 3.08
DFT total energy (Ha/atom): -0.26719
E_form (uncorrected) (meV per atom): -390
Density of states at the Fermi level (states/eV/atom): 4.10

# 5
The following is a PBE-GGA calculation of a relaxed structure of HoHfSc3, from Alexandria via LeMat-Bulk.

```
HoHfSc3
1.0
5.8065 0.0000 0.0000
-0.0010 6.1973 0.0000
-2.8575 -1.6514 6.9738
Ho Hf Sc
2 2 6
Direct
0.0930 0.2472 0.0015
0.9070 0.7528 0.9985
0.4797 0.0530 0.8035
0.5203 0.9470 0.1965
0.1195 0.1501 0.4087
0.2937 0.6662 0.4084
0.3208 0.5599 0.7978
0.6792 0.4401 0.2022
0.7063 0.3338 0.5916
0.8805 0.8499 0.5913
```

Computed properties:
Energy of formation from the pure elements (meV/atom): 37
Relative energy among the computed polymorphs (eV per formula unit): 0.00
DFT total energy (Ha/atom): -0.24504
Density of states at the Fermi level (states/eV/atom): 1.69

# 6
The following is a PBE-GGA calculation of a relaxed structure of Rb3TlIn2Br6, from Alexandria via LeMat-Bulk.

```
Rb3TlIn2Br6
1.0
10.5778 -2.4294 0.0000
10.5778 2.4294 0.0000
-2.2006 0.0000 9.4478
Rb Tl In Br
3 1 2 6
Direct
0.0000 0.0000 0.0000
0.3334 0.3334 0.6673
0.6666 0.6666 0.3327
0.0000 0.0000 0.5000
0.3331 0.3331 0.1670
0.6669 0.6669 0.8330
0.1653 0.1653 0.5887
0.1691 0.1691 0.0771
0.4979 0.4979 0.2536
0.5021 0.5021 0.7464
0.8309 0.8309 0.9229
0.8347 0.8347 0.4113
```

Computed properties:
DFT total energy (Ha/atom): -0.10881
E_form (uncorrected) (meV per atom): -1229
Density of states at the Fermi level (states/eV/atom): 0.00

# 7
The following is a PBE-GGA calculation of a relaxed structure of TlPCl3, from Alexandria via LeMat-Bulk.

```
TlPCl3
1.0
24.2605 0.0000 0.0000
0.0000 11.7812 0.0000
-0.0088 0.0000 5.0385
Tl P Cl
8 8 24
Direct
0.0505 0.1162 0.2501
0.0505 0.3838 0.7501
0.4496 0.6162 0.2489
0.4496 0.8838 0.7489
0.5504 0.1162 0.2511
0.5504 0.3838 0.7511
0.9495 0.6162 0.2499
0.9495 0.8838 0.7499
0.2182 0.7397 0.1756
0.2182 0.7603 0.6756
0.2819 0.2398 0.1751
0.2819 0.2602 0.6751
0.7181 0.7398 0.3249
0.7181 0.7602 0.8249
0.7818 0.2397 0.3244
0.7818 0.2603 0.8244
0.0144 0.6232 0.7498
0.0144 0.8768 0.2498
0.1519 0.6312 0.1750
0.1519 0.8688 0.6750
0.2150 0.1304 0.1741
0.2150 0.3696 0.6741
0.2851 0.6304 0.1757
0.2851 0.8696 0.6757
0.3481 0.1312 0.1756
0.3481 0.3688 0.6756
0.4855 0.1232 0.7498
0.4855 0.3768 0.2498
0.5145 0.6232 0.7502
0.5145 0.8768 0.2502
0.6519 0.6312 0.3244
0.6519 0.8688 0.8244
0.7149 0.1304 0.3243
0.7149 0.3696 0.8243
0.7850 0.6304 0.3259
0.7850 0.8696 0.8259
0.8481 0.1312 0.3250
0.8481 0.3688 0.8250
0.9856 0.1232 0.7502
0.9856 0.3768 0.2502
```

Computed properties:
Relative energy among the computed polymorphs (eV per formula unit): 0.12
DFT total energy (Ha/atom): -0.12380
E_form (uncorrected) (meV per atom): -706

# 8
The following is a PBE-GGA calculation of a relaxed structure of AcDy12Er3, from Alexandria via LeMat-Bulk.

```
AcDy12Er3
1.0
5.0345 0.0000 0.0000
0.0000 5.0345 0.0000
0.0000 0.0000 20.1572
Ac Dy Er
1 12 3
Direct
0.0000 0.0000 0.0000
0.0000 0.5000 0.1315
0.0000 0.5000 0.3771
0.0000 0.5000 0.6229
0.0000 0.5000 0.8685
0.5000 0.0000 0.1315
0.5000 0.0000 0.3771
0.5000 0.0000 0.6229
0.5000 0.0000 0.8685
0.5000 0.5000 0.0000
0.5000 0.5000 0.2549
0.5000 0.5000 0.5000
0.5000 0.5000 0.7451
0.0000 0.0000 0.2535
0.0000 0.0000 0.5000
0.0000 0.0000 0.7465
```

Computed properties:
Energy of formation from the pure elements (meV/atom): 32
DFT total energy (Ha/atom): -0.16653
Density of states at the Fermi level (states/eV/atom): 1.38

no.,density (g/cm³)
1,5.95
2,6.88
3,7.93
4,7.52
5,6.33
6,4.00
7,3.15
8,8.71